VASP calculation (PBE) on crystalline Co2MoAs at its relaxed geometry.

Cell lengths 2.7843, 2.7843, 24.2015 Å; angles 90.00, 90.00, 120.00 degrees
Last column: nearest neighbours and their distance in Å.
Space group R3m (No. 160, hexagonal axes)
One atom of each set of equivalent atoms:
Co 0.0000 0.0000 0.0000 x3  3 As 2.45, 3 Co 2.51
Co 0.0000 0.0000 0.2537 x3  9 Co 2.51-2.78, 3 Mo 2.61
Mo 0.0000 0.0000 0.5022 x3  3 Co 2.61, 3 As 2.75, 6 Mo 2.78
As 0.0000 0.0000 0.7430 x3  3 Co 2.45

## Properties
Crystal system ... trigonal
Magnetic moment ... 7.357 μB/cell
Energy of formation ... 6.31 kcal/mol of atoms